# Rb3CuAg2Cl8 GGA-PBE relaxed
# Magnetization, μB/f.u.: 0.0
# Formation energy without anion corrections, meV per atom: -1065
data_Rb3CuAg2Cl8
_symmetry_space_group_name_H-M 'P 1'
_symmetry_Int_Tables_number 1
_symmetry_space_group_name_Hall 'P 1'
_cell_length_a 7.056
_cell_length_b 7.056
_cell_length_c 9.673
_cell_angle_alpha 90.00
_cell_angle_beta 90.00
_cell_angle_gamma 120.00
loop_
_atom_site_label
_atom_site_type_symbol
_atom_site_fract_x
_atom_site_fract_y
_atom_site_fract_z
Rb1 Rb 0.000 0.000 0.000
Rb2 Rb 0.333 0.667 0.625
Rb3 Rb 0.667 0.333 0.375
Cu1 Cu 0.000 0.000 0.500
Ag1 Ag 0.333 0.667 0.202
Ag2 Ag 0.667 0.333 0.798
Cl1 Cl 0.158 0.317 0.350
Cl2 Cl 0.158 0.842 0.350
Cl3 Cl 0.317 0.158 0.650
Cl4 Cl 0.333 0.667 0.953
Cl5 Cl 0.667 0.333 0.047
Cl6 Cl 0.683 0.842 0.350
Cl7 Cl 0.842 0.158 0.650
Cl8 Cl 0.842 0.683 0.650